Entry from the Alexandria database: V2AsRhI after structural relaxation (PBE).

Properties
* energy: -5.1301 eV per atom

Geometry as extended XYZ:
```
5
Lattice="-1.0458 -0.1958 4.5292 -1.0642 -5.4855 -0.4829 4.4467 -0.9494 0.9857" Properties=species:S:1:pos:R:3 pbc="T T T"
V -0.5229 -0.0979 2.2646
V 2.2233 -0.4747 0.4929
As 0.0000 0.0000 0.0000
Rh 1.1683 -3.3154 2.5160
I -0.5321 -2.7428 -0.2414
```